Run 1
A geometry-optimized SmGdGe2 structure, computed with GGA-PBE.

As for the space-group type: P4/mmm, No. 123. The value obtained for the calculated volume is 23.574 A^3/atom.

a b c (Å): 3.395 3.395 8.181
angles (deg): 90.00 90.00 90.00
Fractional coordinates of all 4 atoms:
Sm (0.000, 0.000, 0.000)
Gd (0.000, 0.000, 0.500)
Ge (0.500, 0.500, 0.252)
Ge (0.500, 0.500, 0.748)



Run 2
A geometry-optimized SmGdGe2 structure, computed with GGA-PBE.

As for the space-group type: R-3m, No. 166. The value obtained for the calculated volume is 25.300 A^3/atom.

a b c (Å): 5.925 5.925 5.925
angles (deg): 46.86 46.86 46.86
Fractional coordinates of all 4 atoms:
Sm (0.000, 0.000, 0.000)
Gd (0.500, 0.500, 0.500)
Ge (0.247, 0.247, 0.247)
Ge (0.753, 0.753, 0.753)



Relative energies, in kJ/mol of atoms, with the most stable structure set to zero: run 1 2.3; run 2 0.0.



Run 1
A geometry-optimized GdSnGe structure, computed with GGA-PBE.

As for the space-group type: I4mm, No. 107. The value obtained for the calculated volume is 26.468 A^3/atom.

a b c (Å): 5.268 5.268 5.268
angles (deg): 131.88 131.88 70.41
Fractional coordinates of all 3 atoms:
Gd (0.000, 0.000, 0.000)
Sn (0.354, 0.354, 0.000)
Ge (0.656, 0.656, 0.000)



Run 2
A geometry-optimized GdSnGe structure, computed with GGA-PBE.

As for the space-group type: P3m1, No. 156. The value obtained for the calculated volume is 25.522 A^3/atom.

a b c (Å): 4.576 4.576 4.222
angles (deg): 90.00 90.00 120.00
Fractional coordinates of all 3 atoms:
Gd (0.000, 0.000, 0.000)
Sn (0.667, 0.333, 0.564)
Ge (0.333, 0.667, 0.372)



Relative energies, in kJ/mol of atoms, with the most stable structure set to zero: run 1 5.6; run 2 0.0.



Run 1
A geometry-optimized Tb2GdGe structure, computed with GGA-PBE.

As for the space-group type: R-3m, No. 166. The value obtained for the calculated volume is 29.790 A^3/atom.

a b c (Å): 10.163 10.163 10.163
angles (deg): 21.10 21.10 21.10
Fractional coordinates of all 4 atoms:
Tb (0.233, 0.233, 0.233)
Tb (0.767, 0.767, 0.767)
Gd (0.000, 0.000, 0.000)
Ge (0.500, 0.500, 0.500)



Run 2
A geometry-optimized Tb2GdGe structure, computed with GGA-PBE.

As for the space-group type: P4/mmm, No. 123. The value obtained for the calculated volume is 25.843 A^3/atom.

a b c (Å): 4.713 4.713 4.654
angles (deg): 90.00 90.00 90.00
Fractional coordinates of all 4 atoms:
Tb (0.000, 0.500, 0.000)
Tb (0.500, 0.000, 0.000)
Gd (0.000, 0.000, 0.500)
Ge (0.500, 0.500, 0.500)



Relative energies, in kJ/mol of atoms, with the most stable structure set to zero: run 1 11.5; run 2 0.0.



Run 1
A geometry-optimized GdTcGe2 structure, computed with GGA-PBE.

As for the space-group type: R-3m, No. 166. The value obtained for the calculated volume is 19.283 A^3/atom.

a b c (Å): 5.501 5.501 5.501
angles (deg): 45.48 45.48 45.48
Fractional coordinates of all 4 atoms:
Gd (0.000, 0.000, 0.000)
Tc (0.500, 0.500, 0.500)
Ge (0.221, 0.221, 0.221)
Ge (0.779, 0.779, 0.779)



Run 2
A geometry-optimized GdTcGe2 structure, computed with GGA-PBE.

As for the space-group type: P4/mmm, No. 123. The value obtained for the calculated volume is 18.176 A^3/atom.

a b c (Å): 3.227 3.227 6.983
angles (deg): 90.00 90.00 90.00
Fractional coordinates of all 4 atoms:
Gd (0.000, 0.000, 0.000)
Tc (0.000, 0.000, 0.500)
Ge (0.500, 0.500, 0.301)
Ge (0.500, 0.500, 0.699)



Relative energies, in kJ/mol of atoms, with the most stable structure set to zero: run 1 0.0; run 2 7.3.



Run 1
A geometry-optimized GdThGe2 structure, computed with GGA-PBE.

As for the space-group type: R-3m, No. 166. The value obtained for the calculated volume is 27.163 A^3/atom.

a b c (Å): 7.343 7.343 7.343
angles (deg): 33.71 33.71 33.71
Fractional coordinates of all 4 atoms:
Gd (0.000, 0.000, 0.000)
Th (0.500, 0.500, 0.500)
Ge (0.252, 0.252, 0.252)
Ge (0.748, 0.748, 0.748)



Run 2
A geometry-optimized GdThGe2 structure, computed with GGA-PBE.

As for the space-group type: P4/mmm, No. 123. The value obtained for the calculated volume is 24.127 A^3/atom.

a b c (Å): 5.482 5.482 3.211
angles (deg): 90.00 90.00 90.00
Fractional coordinates of all 4 atoms:
Gd (0.000, 0.000, 0.000)
Th (0.500, 0.500, 0.000)
Ge (0.000, 0.500, 0.500)
Ge (0.500, 0.000, 0.500)



Relative energies, in kJ/mol of atoms, with the most stable structure set to zero: run 1 0.0; run 2 7.2.



Run 1
A geometry-optimized GdTlGe structure, computed with GGA-PBE.

As for the space-group type: P3m1, No. 156. The value obtained for the calculated volume is 26.340 A^3/atom.

a b c (Å): 4.402 4.402 4.709
angles (deg): 90.00 90.00 120.00
Fractional coordinates of all 3 atoms:
Gd (0.000, 0.000, 0.000)
Tl (0.667, 0.333, 0.420)
Ge (0.333, 0.667, 0.689)



Run 2
A geometry-optimized GdTlGe structure, computed with GGA-PBE.

As for the space-group type: I4mm, No. 107. The value obtained for the calculated volume is 24.971 A^3/atom.

a b c (Å): 6.203 6.203 6.203
angles (deg): 145.84 145.84 49.08
Fractional coordinates of all 3 atoms:
Gd (0.000, 0.000, 0.000)
Tl (0.304, 0.304, 0.000)
Ge (0.662, 0.662, 0.000)



Relative energies, in kJ/mol of atoms, with the most stable structure set to zero: run 1 0.0; run 2 14.9.



Run 1
A geometry-optimized GdUGe2 structure, computed with GGA-PBE.

As for the space-group type: R-3m, No. 166. The value obtained for the calculated volume is 25.190 A^3/atom.

a b c (Å): 7.126 7.126 7.126
angles (deg): 33.98 33.98 33.98
Fractional coordinates of all 4 atoms:
Gd (0.000, 0.000, 0.000)
U (0.500, 0.500, 0.500)
Ge (0.244, 0.244, 0.244)
Ge (0.756, 0.756, 0.756)



Run 2
A geometry-optimized GdUGe2 structure, computed with GGA-PBE.

As for the space-group type: P4/mmm, No. 123. The value obtained for the calculated volume is 22.198 A^3/atom.

a b c (Å): 3.729 3.729 6.384
angles (deg): 90.00 90.00 90.00
Fractional coordinates of all 4 atoms:
Gd (0.000, 0.000, 0.000)
U (0.000, 0.000, 0.500)
Ge (0.500, 0.500, 0.252)
Ge (0.500, 0.500, 0.748)



Relative energies, in kJ/mol of atoms, with the most stable structure set to zero: run 1 0.0; run 2 1.7.



Run 1
A geometry-optimized Gd2YGe structure, computed with GGA-PBE.

As for the space-group type: P4/mmm, No. 123. The value obtained for the calculated volume is 27.107 A^3/atom.

a b c (Å): 3.987 3.987 6.819
angles (deg): 90.00 90.00 90.00
Fractional coordinates of all 4 atoms:
Gd (0.000, 0.000, 0.212)
Gd (0.000, 0.000, 0.788)
Y (0.500, 0.500, 0.500)
Ge (0.500, 0.500, 0.000)



Run 2
A geometry-optimized Gd2YGe structure, computed with GGA-PBE.

As for the space-group type: P4/mmm, No. 123. The value obtained for the calculated volume is 26.145 A^3/atom.

a b c (Å): 4.678 4.678 4.778
angles (deg): 90.00 90.00 90.00
Fractional coordinates of all 4 atoms:
Gd (0.000, 0.500, 0.000)
Gd (0.500, 0.000, 0.000)
Y (0.000, 0.000, 0.500)
Ge (0.500, 0.500, 0.500)



Run 3
A geometry-optimized Gd2YGe structure, computed with GGA-PBE.

As for the space-group type: R-3m, No. 166. The value obtained for the calculated volume is 31.006 A^3/atom.

a b c (Å): 11.803 11.803 11.803
angles (deg): 17.10 17.10 17.10
Fractional coordinates of all 4 atoms:
Gd (0.084, 0.084, 0.084)
Gd (0.916, 0.916, 0.916)
Y (0.500, 0.500, 0.500)
Ge (0.000, 0.000, 0.000)



Relative energies, in kJ/mol of atoms, with the most stable structure set to zero: run 1 1.5; run 2 0.0; run 3 49.4.



Run 1
A geometry-optimized GdYGe2 structure, computed with GGA-PBE.

As for the space-group type: P4/mmm, No. 123. The value obtained for the calculated volume is 23.087 A^3/atom.

a b c (Å): 5.361 5.361 3.213
angles (deg): 90.00 90.00 90.00
Fractional coordinates of all 4 atoms:
Gd (0.000, 0.000, 0.000)
Y (0.500, 0.500, 0.000)
Ge (0.000, 0.500, 0.500)
Ge (0.500, 0.000, 0.500)



Run 2
A geometry-optimized GdYGe2 structure, computed with GGA-PBE.

As for the space-group type: R-3m, No. 166. The value obtained for the calculated volume is 24.564 A^3/atom.

a b c (Å): 5.881 5.881 5.881
angles (deg): 46.65 46.65 46.65
Fractional coordinates of all 4 atoms:
Gd (0.000, 0.000, 0.000)
Y (0.500, 0.500, 0.500)
Ge (0.249, 0.249, 0.249)
Ge (0.751, 0.751, 0.751)



Relative energies, in kJ/mol of atoms, with the most stable structure set to zero: run 1 6.4; run 2 0.0.



Run 1
A geometry-optimized GdHo2H structure, computed with GGA-PBE.

As for the space-group type: P4/mmm, No. 123. The value obtained for the calculated volume is 23.530 A^3/atom.

a b c (Å): 3.331 3.331 8.482
angles (deg): 90.00 90.00 90.00
Fractional coordinates of all 4 atoms:
Gd (0.000, 0.000, 0.000)
Ho (0.500, 0.500, 0.310)
Ho (0.500, 0.500, 0.690)
H (0.000, 0.000, 0.500)



Run 2
A geometry-optimized GdHo2H structure, computed with GGA-PBE.

As for the space-group type: R-3m, No. 166. The value obtained for the calculated volume is 23.549 A^3/atom.

a b c (Å): 8.720 8.720 8.720
angles (deg): 23.71 23.71 23.71
Fractional coordinates of all 4 atoms:
Gd (0.000, 0.000, 0.000)
Ho (0.220, 0.220, 0.220)
Ho (0.780, 0.780, 0.780)
H (0.500, 0.500, 0.500)



Relative energies, in kJ/mol of atoms, with the most stable structure set to zero: run 1 30.4; run 2 0.0.



Run 1
A geometry-optimized GdInH structure, computed with GGA-PBE.

As for the space-group type: P3m1, No. 156. The value obtained for the calculated volume is 20.717 A^3/atom.

a b c (Å): 3.662 3.662 5.352
angles (deg): 90.00 90.00 120.00
Fractional coordinates of all 3 atoms:
Gd (0.000, 0.000, 0.000)
In (0.667, 0.333, 0.500)
H (0.333, 0.667, 0.997)



Run 2
A geometry-optimized GdInH structure, computed with GGA-PBE.

As for the space-group type: I4mm, No. 107. The value obtained for the calculated volume is 20.309 A^3/atom.

a b c (Å): 6.294 6.294 6.294
angles (deg): 150.33 150.33 42.45
Fractional coordinates of all 3 atoms:
Gd (0.000, 0.000, 0.000)
In (0.277, 0.277, 0.000)
H (0.534, 0.534, 0.000)



Relative energies, in kJ/mol of atoms, with the most stable structure set to zero: run 1 0.0; run 2 17.3.



Run 1
A geometry-optimized GdHIr structure, computed with GGA-PBE.

As for the space-group type: P-6m2, No. 187. The value obtained for the calculated volume is 15.787 A^3/atom.

a b c (Å): 3.832 3.832 3.725
angles (deg): 90.00 90.00 120.00
Fractional coordinates of all 3 atoms:
Gd (0.000, 0.000, 0.000)
H (0.333, 0.667, 0.500)
Ir (0.667, 0.333, 0.500)



Run 2
A geometry-optimized GdHIr structure, computed with GGA-PBE.

As for the space-group type: R-3m, No. 166. The value obtained for the calculated volume is 18.029 A^3/atom.

a b c (Å): 7.342 7.342 7.342
angles (deg): 33.63 33.63 33.63
Fractional coordinates of all 6 atoms:
Gd (0.090, 0.090, 0.090)
Gd (0.910, 0.910, 0.910)
H (0.202, 0.202, 0.202)
H (0.798, 0.798, 0.798)
Ir (0.335, 0.335, 0.335)
Ir (0.665, 0.665, 0.665)



Relative energies, in kJ/mol of atoms, with the most stable structure set to zero: run 1 27.3; run 2 0.0.